(1)
Crystalline Ba3CrAs2O8 at its relaxed geometry, computed with PBE+U.

Values from the calculation:
- Raw total energy: -6.33 eV per atom
- Density of states at the Fermi level: 4.02 states/eV/f.u.
- Crystal system: trigonal

Structure (CIF):
```
data_Ba3CrAs2O8
_symmetry_space_group_name_H-M 'P -3 m 1'
_symmetry_Int_Tables_number 164
_symmetry_space_group_name_Hall '-P 3 2"'
_cell_length_a 5.9349
_cell_length_b 5.9349
_cell_length_c 7.5737
_cell_angle_alpha 90.00
_cell_angle_beta 90.00
_cell_angle_gamma 120.00
loop_
_atom_site_label
_atom_site_type_symbol
_atom_site_fract_x
_atom_site_fract_y
_atom_site_fract_z
_atom_site_occupancy
Ba1 Ba 0.0000 0.0000 0.0000 1
Ba2 Ba 0.3333 0.6667 0.6500 1
Cr1 Cr 0.0000 0.0000 0.5000 1
As1 As 0.3333 0.6667 0.2211 1
O1 O 0.1614 0.3228 0.3269 1
O2 O 0.3333 0.6667 0.9843 1
```

***

(2)
Crystalline BaCrAs2O6 at its relaxed geometry, computed with PBE+U.

Values from the calculation:
- Raw total energy: -6.43 eV per atom
- Density of states at the Fermi level: 4.26 states/eV/f.u.
- Crystal system: trigonal

Structure (CIF):
```
data_BaCrAs2O6
_symmetry_space_group_name_H-M 'R -3'
_symmetry_Int_Tables_number 148
_symmetry_space_group_name_Hall '-R 3'
_cell_length_a 5.3689
_cell_length_b 5.3689
_cell_length_c 18.6444
_cell_angle_alpha 90.00
_cell_angle_beta 90.00
_cell_angle_gamma 120.00
loop_
_atom_site_label
_atom_site_type_symbol
_atom_site_fract_x
_atom_site_fract_y
_atom_site_fract_z
_atom_site_occupancy
Ba1 Ba 0.0000 0.0000 0.0000 1
Cr1 Cr 0.0000 0.0000 0.5000 1
As1 As 0.0000 0.0000 0.2580 1
O1 O 0.0000 0.3797 0.8944 1
```

***

(3)
Crystalline BaCr2AsO10 at its relaxed geometry, computed with PBE+U.

Values from the calculation:
- Raw total energy: -6.43 eV per atom
- Density of states at the Fermi level: 5.27 states/eV/f.u.
- Crystal system: triclinic

Structure (CIF):
```
data_BaCr2AsO10
_symmetry_space_group_name_H-M 'P -1'
_symmetry_Int_Tables_number 2
_symmetry_space_group_name_Hall '-P 1'
_cell_length_a 7.859
_cell_length_b 8.073
_cell_length_c 8.207
_cell_angle_alpha 116.79
_cell_angle_beta 91.59
_cell_angle_gamma 100.51
loop_
_atom_site_label
_atom_site_type_symbol
_atom_site_fract_x
_atom_site_fract_y
_atom_site_fract_z
_atom_site_occupancy
Ba1 Ba 0.245 0.359 0.294 1
Cr1 Cr 0.065 0.777 0.196 1
Cr2 Cr 0.300 0.886 0.742 1
As1 As 0.343 0.284 0.738 1
O1 O 0.010 0.695 0.976 1
O2 O 0.122 0.293 0.708 1
O3 O 0.125 0.008 0.293 1
O4 O 0.156 0.691 0.606 1
O5 O 0.220 0.684 0.232 1
O6 O 0.226 0.003 0.935 1
O7 O 0.340 0.039 0.633 1
O8 O 0.408 0.368 0.969 1
O9 O 0.442 0.385 0.617 1
O10 O 0.481 0.832 0.780 1
```

***

Repeat the second record exactly.
Crystalline BaCrAs2O6 at its relaxed geometry, computed with PBE+U.

Values from the calculation:
- Raw total energy: -6.43 eV per atom
- Density of states at the Fermi level: 4.26 states/eV/f.u.
- Crystal system: trigonal

Structure (CIF):
```
data_BaCrAs2O6
_symmetry_space_group_name_H-M 'R -3'
_symmetry_Int_Tables_number 148
_symmetry_space_group_name_Hall '-R 3'
_cell_length_a 5.3689
_cell_length_b 5.3689
_cell_length_c 18.6444
_cell_angle_alpha 90.00
_cell_angle_beta 90.00
_cell_angle_gamma 120.00
loop_
_atom_site_label
_atom_site_type_symbol
_atom_site_fract_x
_atom_site_fract_y
_atom_site_fract_z
_atom_site_occupancy
Ba1 Ba 0.0000 0.0000 0.0000 1
Cr1 Cr 0.0000 0.0000 0.5000 1
As1 As 0.0000 0.0000 0.2580 1
O1 O 0.0000 0.3797 0.8944 1
```